DFT (PBE) results for a relaxed HfP2W2 crystal.

extended XYZ file:
```
10
Lattice="7.2852 0.0000 0.0000 0.0000 7.2852 0.0000 0.0000 0.0000 2.9543" Properties=species:S:1:pos:R:3 pbc="T T T"
Hf 0.0000 0.0000 0.0000
Hf 3.6426 3.6426 0.0000
P 1.1266 2.5160 1.4772
P 2.5160 6.1586 1.4772
P 4.7692 1.1266 1.4772
P 6.1586 4.7692 1.4772
W 1.0170 4.6596 0.0000
W 2.6256 1.0170 0.0000
W 4.6596 6.2681 0.0000
W 6.2681 2.6256 0.0000
```

Formation enthalpy at 0 K in kcal/mol of atoms: 1.1
Excess energy over the best structure of this formula in the dataset in meV per atom: 87
DOS at the Fermi energy in states/eV per cell: 5.29
Total magnetic moment in μB/atom: 0.00